No. 1
Material: Rb3Tl4Hg2
Method: DFT, PBE-GGA
State: relaxed

Calculated values
- DOS at the Fermi energy: 0.45 states/eV/atom
- V: 733.7 Å³ per cell
- Crystal system: monoclinic
- Energy above the lowest structure with this stoichiometry: 6 meV per atom

a = 13.676 Å, b = 5.412 Å, c = 10.690 Å
α = 90.00°, β = 111.98°, γ = 90.00°
Space group C2/m (No. 12)
Inequivalent atoms, fractional coordinates:
1 Rb 0.000 0.000 0.000
2 Rb 0.114 0.500 0.366
3 Tl 0.094 0.000 0.638
4 Tl 0.207 0.500 0.061
5 Hg 0.201 0.500 0.753

***

No. 2
Material: MnGe3Sb
Method: DFT, PBE-GGA
State: relaxed

Calculated values
- DOS at the Fermi energy: 0.46 states/eV/atom
- V: 106.5 Å³ per cell
- Crystal system: cubic
- Energy above the lowest structure with this stoichiometry: 0 meV per atom

a = 4.741 Å, b = 4.741 Å, c = 4.741 Å
α = 90.00°, β = 90.00°, γ = 90.00°
Space group Pm-3m (No. 221)
Inequivalent atoms, fractional coordinates:
1 Mn 0.000 0.000 0.000
2 Ge 0.000 0.000 0.500
3 Sb 0.500 0.500 0.500

***

No. 3
Material: Ac3RuBr3
Method: DFT, PBE-GGA
State: relaxed

Calculated values
- DOS at the Fermi energy: 0.50 states/eV/atom
- V: 1061.1 Å³ per cell
- Crystal system: monoclinic
- Energy above the lowest structure with this stoichiometry: 347 meV per atom

a = 9.233 Å, b = 12.530 Å, c = 9.946 Å
α = 90.00°, β = 112.75°, γ = 90.00°
Space group C2/m (No. 12)
Inequivalent atoms, fractional coordinates:
1 Ac 0.128 0.000 0.288
2 Ac 0.198 0.334 0.293
3 Ru 0.128 0.000 0.613
4 Br 0.000 0.177 0.000
5 Br 0.000 0.339 0.500
6 Br 0.095 0.500 0.857

***

No. 4
Material: BaCrN3
Method: DFT, PBE-GGA
State: relaxed

Calculated values
- DOS at the Fermi energy: 0.51 states/eV/atom
- V: 60.5 Å³ per cell
- Crystal system: cubic
- Final energy: -7.271 eV/atom

a = 3.925 Å, b = 3.925 Å, c = 3.925 Å
α = 90.00°, β = 90.00°, γ = 90.00°
Space group Pm-3m (No. 221)
Inequivalent atoms, fractional coordinates:
1 Ba 0.000 0.000 0.000
2 Cr 0.500 0.500 0.500
3 N 0.000 0.500 0.500

***

No. 5
Material: Bi3Mo
Method: DFT, PBE-GGA
State: relaxed

Calculated values
- DOS at the Fermi energy: 0.70 states/eV/atom
- V: 441.2 Å³ per cell
- Crystal system: monoclinic
- Final energy: -5.288 eV/atom

a = 7.410 Å, b = 4.896 Å, c = 12.357 Å
α = 90.00°, β = 100.23°, γ = 90.00°
Space group P2_1/m (No. 11)
Inequivalent atoms, fractional coordinates:
1 Bi 0.074 0.250 0.370
2 Bi 0.158 0.750 0.202
3 Bi 0.241 0.250 0.044
4 Bi 0.301 0.750 0.860
5 Bi 0.338 0.250 0.680
6 Bi 0.341 0.750 0.475
7 Mo 0.414 0.250 0.294
8 Mo 0.473 0.750 0.099

***

No. 6
Material: SrY2C2
Method: DFT, PBE-GGA
State: relaxed

Calculated values
- DOS at the Fermi energy: 0.00 states/eV/atom
- V: 252.1 Å³ per cell
- Crystal system: tetragonal
- Energy above the lowest structure with this stoichiometry: 0 meV per atom

a = 4.509 Å, b = 4.509 Å, c = 12.399 Å
α = 90.00°, β = 90.00°, γ = 90.00°
Space group I4/mmm (No. 139)
Inequivalent atoms, fractional coordinates:
1 Sr 0.000 0.000 0.000
2 Y 0.000 0.500 0.250
3 C 0.000 0.000 0.329

***

No. 7
Material: Ho3TeCl2O6
Method: DFT, PBE-GGA
State: relaxed

Calculated values
- DOS at the Fermi energy: 0.10 states/eV/atom
- V: 416.1 Å³ per cell
- Crystal system: monoclinic
- Final energy: -6.468 eV/atom

a = 11.702 Å, b = 6.611 Å, c = 5.465 Å
α = 90.00°, β = 100.27°, γ = 90.00°
Space group C2/m (No. 12)
Inequivalent atoms, fractional coordinates:
1 Ho 0.000 0.000 0.000
2 Ho 0.250 0.250 0.500
3 Te 0.000 0.500 0.500
4 Cl 0.202 0.000 0.845
5 O 0.063 0.254 0.294
6 O 0.170 0.500 0.671

***

No. 8
Material: KPrOsO6
Method: DFT, PBE-GGA
State: relaxed

Calculated values
- V: 166.0 Å³ per cell
- Crystal system: trigonal
- Final energy: -6.925 eV/atom

a = 5.8072 Å, b = 5.8072 Å, c = 5.6821 Å
α = 90.00°, β = 90.00°, γ = 120.00°
Space group P312 (No. 149)
Inequivalent atoms, fractional coordinates:
1 K 0.0000 0.0000 0.0000
2 Pr 0.3333 0.6667 0.5000
3 Os 0.6667 0.3333 0.5000
4 O 0.4093 0.0616 0.6901

***

No. 9
Material: AlCd12Hg7
Method: DFT, PBE-GGA
State: relaxed

Calculated values
- DOS at the Fermi energy: 0.33 states/eV/atom
- V: 1438.2 Å³ per cell
- Crystal system: trigonal
- Final energy: -0.789 eV/atom

a = 11.4842 Å, b = 11.4842 Å, c = 12.5920 Å
α = 90.00°, β = 90.00°, γ = 120.00°
Space group R-3m (No. 166, hexagonal axes)
Inequivalent atoms, fractional coordinates:
1 Al 0.0000 0.0000 0.0000
2 Cd 0.0000 0.2652 0.0000
3 Cd 0.0341 0.5170 0.1243
4 Hg 0.0000 0.0000 0.5000
5 Hg 0.0885 0.1770 0.7748

***

No. 10
Material: Tb7Mg2Rh2
Method: DFT, PBE-GGA
State: relaxed

Calculated values
- DOS at the Fermi energy: 1.07 states/eV/atom
- V: 646.7 Å³ per cell
- Crystal system: orthorhombic
- Final energy: -4.807 eV/atom

a = 8.078 Å, b = 11.041 Å, c = 7.251 Å
α = 90.00°, β = 90.00°, γ = 90.00°
Space group Cmmm (No. 65)
Inequivalent atoms, fractional coordinates:
1 Tb 0.000 0.000 0.000
2 Tb 0.000 0.500 0.240
3 Tb 0.250 0.250 0.248
4 Mg 0.174 0.000 0.500
5 Rh 0.000 0.287 0.000

***

No. 11
Material: TaTcAu2
Method: DFT, PBE-GGA
State: relaxed

Calculated values
- DOS at the Fermi energy: 1.57 states/eV/atom
- V: 273.8 Å³ per cell
- Crystal system: cubic
- Energy above the lowest structure with this stoichiometry: 397 meV per atom

a = 6.493 Å, b = 6.493 Å, c = 6.493 Å
α = 90.00°, β = 90.00°, γ = 90.00°
Space group Fm-3m (No. 225)
Inequivalent atoms, fractional coordinates:
1 Ta 0.000 0.000 0.000
2 Tc 0.000 0.000 0.500
3 Au 0.250 0.250 0.250

***

No. 12
Material: TbEr3S6
Method: DFT, PBE-GGA
State: relaxed

Calculated values
- V: 457.7 Å³ per cell
- Crystal system: monoclinic
- Final energy: -6.386 eV/atom

a = 10.966 Å, b = 3.925 Å, c = 11.230 Å
α = 90.00°, β = 108.79°, γ = 90.00°
Space group P2_1/m (No. 11)
Inequivalent atoms, fractional coordinates:
1 Tb 0.045 0.250 0.192
2 Er 0.161 0.250 0.585
3 Er 0.318 0.750 0.997
4 Er 0.435 0.250 0.332
5 S 0.082 0.750 0.403
6 S 0.113 0.250 0.963
7 S 0.193 0.750 0.749
8 S 0.257 0.750 0.225
9 S 0.397 0.250 0.562
10 S 0.477 0.250 0.113